Compound: ScZnSe
Source: the Alexandria database
Functional: SCAN
Structure: single point on PBEsol structure

```
ScZnSe
1.0
-2.787 -0.594 -3.480
1.295 -2.483 -3.520
-1.870 -4.027 -0.722
Sc Se Zn
1 1 1
direct
0.250 0.250 0.250
0.000 0.000 0.000
0.500 0.500 0.500
```

- size of the total moment (μB/cell) = 0.00
- raw formation energy (kJ/mol of formula units) = -144